! PBE with a Hubbard U MnH2F4, relaxed; values from VASP
! magnetization	5.0	μB/f.u.
! space group	I4/mmm
! energy	-0.369	Ry/atom
&SYSTEM
  ibrav = 0, nat = 7, ntyp = 3
/
ATOMIC_SPECIES
Mn 54.94 Mn.upf
H 1.01 H.upf
F 19.00 F.upf
CELL_PARAMETERS angstrom
4.1564 0.0000 0.0000
0.0000 4.1564 0.0000
-2.0782 -2.0782 4.6330
ATOMIC_POSITIONS crystal
Mn 0.0000 0.0000 0.0000
H 0.6489 0.6489 0.2978
H 0.3511 0.3511 0.7022
F 0.7512 0.7512 0.5023
F 0.2488 0.2488 0.4977
F 0.0000 0.5000 0.0000
F 0.5000 0.0000 0.0000